VASP calculation (PBE) on a geometry-optimized KTm4PbC2 structure.

```
8
Lattice="3.589 0.000 0.000 -1.794 3.108 0.000 0.000 0.000 17.933" Properties=species:S:1:pos:R:3 pbc="T T T"
K 0.000 0.000 0.000
Tm 0.000 0.000 6.352
Tm 0.000 0.000 11.581
Tm 0.000 2.072 3.762
Tm 0.000 2.072 14.170
Pb 0.000 2.072 8.966
C 1.794 1.036 5.001
C 1.794 1.036 12.932
```

Output
Uncorrected energy in Ry/atom: -0.4005

***

VASP calculation (PBE) on a geometry-optimized KPt3C structure.

```
5
Lattice="4.322 0.000 0.000 0.000 4.322 0.000 0.000 0.000 4.322" Properties=species:S:1:pos:R:3 pbc="T T T"
K 0.000 0.000 0.000
Pt 0.000 2.161 2.161
Pt 2.161 0.000 2.161
Pt 2.161 2.161 0.000
C 2.161 2.161 2.161
```

Output
Energy above the most stable polymorph in this dataset in eV per atom: 0.226
Uncorrected energy in Ry/atom: -0.3862

***

VASP calculation (PBE) on a geometry-optimized KPt3C structure.

```
10
Lattice="5.801 0.000 0.000 -2.900 5.023 0.000 0.000 0.000 5.500" Properties=species:S:1:pos:R:3 pbc="T T T"
K 0.000 0.000 0.000
K 0.000 0.000 2.750
Pt -1.450 2.512 1.376
Pt -1.450 2.512 4.124
Pt 2.900 0.000 1.376
Pt 2.900 0.000 4.124
Pt 1.450 2.512 1.376
Pt 1.450 2.512 4.124
C 0.000 3.349 0.000
C 2.900 1.674 0.000
```

Output
Energy above the most stable polymorph in this dataset in eV per atom: 0.000
Uncorrected energy in Ry/atom: -0.4029

***

VASP calculation (PBE) on a geometry-optimized KTm4SnC2 structure.

```
8
Lattice="3.585 0.000 0.000 -1.793 3.105 0.000 0.000 0.000 17.905" Properties=species:S:1:pos:R:3 pbc="T T T"
K 0.000 0.000 0.000
Tm 0.000 0.000 6.410
Tm 0.000 0.000 11.495
Tm 0.000 2.070 3.814
Tm 0.000 2.070 14.092
Sn 0.000 2.070 8.953
C 1.793 1.035 5.037
C 1.793 1.035 12.869
```

Output
Uncorrected energy in Ry/atom: -0.4056

***

VASP calculation (PBE) on a geometry-optimized KTaC structure.

```
9
Lattice="3.147 0.000 0.000 0.000 4.837 6.757 0.000 -4.837 6.757" Properties=species:S:1:pos:R:3 pbc="T T T"
K 0.000 0.000 0.000
K 0.000 -1.614 6.778
K 0.000 1.614 6.778
Ta 0.000 -1.600 3.080
Ta 0.000 1.600 3.080
Ta 0.000 0.000 9.835
C 1.574 -3.231 8.638
C 1.574 0.000 8.637
C 1.574 3.231 8.638
```

Output
Uncorrected energy in Ry/atom: -0.4713

***

VASP calculation (PBE) on a geometry-optimized KTcC4 structure.

```
6
Lattice="1.326 0.766 9.332 -1.326 0.766 9.332 0.000 -1.531 9.332" Properties=species:S:1:pos:R:3 pbc="T T T"
K 0.000 0.000 0.000
Tc 0.000 0.000 13.999
C 0.000 0.000 2.736
C 0.000 0.000 11.778
C 0.000 0.000 16.219
C 0.000 0.000 25.261
```

Output
Uncorrected energy in Ry/atom: -0.5301

***

VASP calculation (PBE) on a geometry-optimized K2Tm3C2 structure.

```
7
Lattice="1.618 -16.990 0.000 1.618 16.990 0.000 0.000 0.000 3.235" Properties=species:S:1:pos:R:3 pbc="T T T"
K 1.618 10.557 0.000
K 1.618 -10.557 0.000
Tm 1.618 2.769 1.617
Tm 1.618 0.000 1.617
Tm 1.618 -2.769 1.617
C 1.618 15.265 0.000
C 1.618 -15.265 0.000
```

Output
Uncorrected energy in Ry/atom: -0.3246

***

VASP calculation (PBE) on a geometry-optimized LaLuMo2C3 structure.

```
7
Lattice="5.703 -1.710 0.000 5.703 1.710 0.000 -1.650 0.000 5.572" Properties=species:S:1:pos:R:3 pbc="T T T"
La 0.000 0.000 0.000
Lu 8.277 0.000 1.974
Mo 1.431 0.000 4.390
Mo 5.291 0.000 3.078
C 0.681 0.000 2.435
C 3.340 0.000 3.634
C 6.147 0.000 5.095
```

Output
Uncorrected energy in Ry/atom: -0.6341

***

VASP calculation (PBE) on a geometry-optimized La2LuPbC structure.

```
5
Lattice="5.253 0.000 0.000 0.000 5.253 0.000 0.000 0.000 4.842" Properties=species:S:1:pos:R:3 pbc="T T T"
La 0.000 2.627 0.000
La 2.627 0.000 0.000
Lu 0.000 0.000 2.421
Pb 2.627 2.627 2.421
C 0.000 0.000 0.000
```

Output
Uncorrected energy in Ry/atom: -0.4335

***

VASP calculation (PBE) on a geometry-optimized LaNdMo2C3 structure.

```
7
Lattice="5.704 -1.763 0.000 5.704 1.763 0.000 -1.568 0.000 5.742" Properties=species:S:1:pos:R:3 pbc="T T T"
La 0.000 0.000 0.000
Nd 8.403 0.000 1.985
Mo 1.495 0.000 4.490
Mo 5.367 0.000 3.219
C 0.609 0.000 2.563
C 3.427 0.000 3.838
C 6.276 0.000 5.162
```

Output
Uncorrected energy in Ry/atom: -0.6336

***

VASP calculation (PBE) on a geometry-optimized LaScMo2C3 structure.

```
7
Lattice="5.677 -1.690 0.000 5.677 1.690 0.000 -1.687 0.000 5.492" Properties=species:S:1:pos:R:3 pbc="T T T"
La 0.000 0.000 0.000
Sc 8.177 0.000 1.977
Mo 1.399 0.000 4.341
Mo 5.239 0.000 3.021
C 0.686 0.000 2.394
C 3.288 0.000 3.534
C 6.089 0.000 5.067
```

Output
Uncorrected energy in Ry/atom: -0.6512

***

VASP calculation (PBE) on a geometry-optimized La2SiMo2C2 structure.

```
7
Lattice="7.077 -1.691 0.000 7.077 1.691 0.000 -2.284 0.000 5.536" Properties=species:S:1:pos:R:3 pbc="T T T"
La 0.716 0.000 2.575
La 11.155 0.000 2.961
Si 7.077 0.000 0.000
Mo 2.342 0.000 5.411
Mo 9.529 0.000 0.125
C 2.984 0.000 1.266
C 8.887 0.000 4.270
```

Output
Uncorrected energy in Ry/atom: -0.5976

***

Copy entry 2 word for word.
VASP calculation (PBE) on a geometry-optimized KPt3C structure.

```
5
Lattice="4.322 0.000 0.000 0.000 4.322 0.000 0.000 0.000 4.322" Properties=species:S:1:pos:R:3 pbc="T T T"
K 0.000 0.000 0.000
Pt 0.000 2.161 2.161
Pt 2.161 0.000 2.161
Pt 2.161 2.161 0.000
C 2.161 2.161 2.161
```

Output
Energy above the most stable polymorph in this dataset in eV per atom: 0.226
Uncorrected energy in Ry/atom: -0.3862